one) ## NdSm3S6 (PBE)

Data for a geometry-optimized NdSm3S6 structure.

Geometry as extended XYZ:
```
10
Lattice="3.561 2.056 6.278 -3.561 2.056 6.278 0.000 -4.112 6.278" Properties=species:S:1:pos:R:3 pbc="T T T"
Nd 0.000 0.000 0.000
Sm 0.000 0.000 3.878
Sm 0.000 0.000 9.450
Sm 0.000 0.000 13.316
S -2.504 0.212 8.250
S -1.017 -1.840 11.384
S 1.068 -2.275 8.250
S -1.085 1.801 11.384
S 1.436 2.062 8.250
S 2.102 0.039 11.384
```

Results
Spin magnetization (μB per cell): 0.00
Density (g/cm3): 4.7


two) ## NdSm3S6 (PBE)

Data for a geometry-optimized NdSm3S6 structure.

Geometry as extended XYZ:
```
20
Lattice="11.259 0.000 0.000 0.000 4.070 0.000 -3.628 0.000 10.974" Properties=species:S:1:pos:R:3 pbc="T T T"
Nd -0.174 1.017 2.090
Nd 7.805 3.052 8.883
Sm -0.306 1.017 6.415
Sm -0.029 3.052 10.930
Sm 3.690 1.017 3.633
Sm 3.941 3.052 7.340
Sm 7.660 1.017 0.043
Sm 7.937 3.052 4.558
S -0.527 3.052 4.412
S -2.216 1.017 10.556
S -0.565 3.052 8.216
S 2.078 3.052 2.457
S 2.453 1.017 6.181
S 4.970 1.017 1.220
S 2.661 3.052 9.753
S 5.178 3.052 4.792
S 5.553 1.017 8.517
S 8.196 1.017 2.758
S 9.847 3.052 0.418
S 8.157 1.017 6.561
```

Results
Spin magnetization (μB per cell): 0.00
Density (g/cm3): 5.2


Quick one: most stable of them? two)


one) ## NdSmS3 (PBE)

Data for a geometry-optimized NdSmS3 structure.

Geometry as extended XYZ:
```
10
Lattice="7.901 0.000 0.000 0.000 4.014 0.000 -0.525 0.000 7.982" Properties=species:S:1:pos:R:3 pbc="T T T"
Nd 1.638 1.004 3.042
Nd 5.738 3.011 4.940
Sm 2.053 1.004 6.827
Sm 5.323 3.011 1.155
S -0.213 1.004 5.393
S 2.476 3.011 0.833
S 2.714 3.011 4.981
S 4.662 1.004 3.001
S 4.900 1.004 7.150
S 7.589 3.011 2.590
```

Results
Spin magnetization (μB per cell): 0.00
Density (g/cm3): 5.1


two) ## NdSmS3 (PBE)

Data for a geometry-optimized NdSmS3 structure.

Geometry as extended XYZ:
```
20
Lattice="7.471 0.000 0.000 0.000 4.035 0.000 0.000 0.000 15.577" Properties=species:S:1:pos:R:3 pbc="T T T"
Nd 1.079 1.009 3.168
Nd 2.657 3.027 10.956
Nd 4.814 1.009 4.621
Nd 6.392 3.027 12.410
Sm 1.749 3.027 7.107
Sm 1.986 1.009 14.896
Sm 5.485 3.027 0.681
Sm 5.722 1.009 8.470
S 0.079 1.009 6.111
S 0.937 3.027 1.025
S 1.096 1.009 12.185
S 2.639 3.027 4.396
S 2.798 1.009 8.813
S 3.656 3.027 13.899
S 3.815 1.009 1.678
S 4.673 3.027 6.764
S 4.832 1.009 11.181
S 6.375 3.027 3.392
S 6.534 1.009 14.553
S 7.392 3.027 9.467
```

Results
Spin magnetization (μB per cell): 0.00
Density (g/cm3): 5.5


Quick one: most stable of them? two)